First-principles (GGA-PBE) data for a relaxed structure of ZnHPdRh2, as listed in the Alexandria database.

```
ZnHPdRh2
1.0
3.8502 0.0000 0.0000
0.0000 3.8502 0.0000
0.0000 0.0000 4.0606
Zn H Pd Rh
1 1 1 2
Direct
0.0000 0.0000 0.0000
0.0000 0.0000 0.5000
0.5000 0.5000 0.0000
0.0000 0.5000 0.5000
0.5000 0.0000 0.5000
```



First-principles (GGA-PBE) data for a relaxed structure of ZnOsSe2, as listed in the Alexandria database.

```
ZnOsSe2
1.0
2.9013 -3.5769 0.0000
2.9013 3.5769 0.0000
0.0000 0.0000 3.1781
Zn Os Se
1 1 2
Direct
0.0000 0.0000 0.0000
0.5000 0.5000 0.0000
0.0000 0.5000 0.5000
0.5000 0.0000 0.5000
```



ReNi | the Alexandria database | GGA-PBE | relaxed; E_form = 0.13 eV per formula unit
1.0
2.6641 0.0000 0.0000
0.0000 2.6641 0.0000
0.0000 0.0000 7.3420
Re Ni
2 2
Direct
0.2500 0.2500 0.1448
0.7500 0.7500 0.8552
0.2500 0.2500 0.6170
0.7500 0.7500 0.3830



Dy2Al4GaCu3 | the Alexandria database | GGA-PBE | relaxed; E_form = -4.36 eV per formula unit
1.0
4.1593 0.0000 0.0000
0.0000 4.1593 0.0000
0.0000 0.0000 10.2336
Dy Al Ga Cu
2 4 1 3
Direct
0.0000 0.5000 0.2478
0.5000 0.0000 0.7522
0.0000 0.0000 0.0000
0.0000 0.5000 0.6412
0.5000 0.0000 0.3588
0.5000 0.5000 0.0000
0.0000 0.0000 0.5000
0.0000 0.5000 0.8715
0.5000 0.0000 0.1285
0.5000 0.5000 0.5000



PuNpFe2 | the Alexandria database | GGA-PBE | relaxed; E_form = 0.63 eV per formula unit
1.0
3.2592 0.0000 0.0000
0.0000 3.2592 0.0000
0.0000 0.0000 6.6985
Pu Np Fe
1 1 2
Direct
0.0000 0.0000 0.0000
0.0000 0.0000 0.5000
0.5000 0.5000 0.2829
0.5000 0.5000 0.7171



First-principles (GGA-PBE) data for a relaxed structure of SiRh2, as listed in the Alexandria database.

```
SiRh2
1.0
5.5111 0.0000 0.0000
0.0000 3.9645 0.0000
0.0000 0.0000 7.4153
Si Rh
4 8
Direct
0.2234 0.2500 0.1054
0.2766 0.7500 0.6054
0.7234 0.2500 0.3946
0.7766 0.7500 0.8946
0.0245 0.2500 0.8047
0.1581 0.2500 0.4292
0.3419 0.7500 0.9292
0.4755 0.7500 0.3047
0.5245 0.2500 0.6953
0.6581 0.2500 0.0708
0.8419 0.7500 0.5708
0.9755 0.7500 0.1953
```



First-principles (GGA-PBE) data for a relaxed structure of La3Ga2N, as listed in the Alexandria database.

```
La3Ga2N
1.0
7.1572 0.0000 0.0000
-3.5786 6.1983 0.0000
0.0000 0.0000 6.9000
La Ga N
6 4 2
Direct
0.1579 0.3159 0.2500
0.1579 0.8421 0.2500
0.3159 0.1579 0.7500
0.6841 0.8421 0.2500
0.8421 0.1579 0.7500
0.8421 0.6841 0.7500
0.3333 0.6667 0.5769
0.3333 0.6667 0.9231
0.6667 0.3333 0.0769
0.6667 0.3333 0.4231
0.0000 0.0000 0.0000
0.0000 0.0000 0.5000
```



AlNiHg2 | the Alexandria database | GGA-PBE | relaxed; E_form = 0.20 eV per formula unit
1.0
-1.4425 2.2680 5.7841
1.4425 -2.2680 5.7841
1.4425 2.2680 -5.7841
Al Ni Hg
1 1 2
Direct
0.0000 0.0000 0.0000
0.8317 0.3317 0.5000
0.3184 0.8184 0.5000
0.6163 0.6163 0.0000



First-principles (GGA-PBE) data for a relaxed structure of CsKCl, as listed in the Alexandria database.

```
CsKCl
1.0
4.8037 0.0000 0.0000
-2.4018 4.1601 0.0000
0.0000 0.0000 8.3687
Cs K Cl
1 1 1
Direct
0.0000 0.0000 0.0000
0.3333 0.6667 0.4699
0.6667 0.3333 0.2593
```



First-principles (GGA-PBE) data for a relaxed structure of TbTl3P2O8, as listed in the Alexandria database.

```
TbTl3P2O8
1.0
5.7306 0.0000 0.0000
-2.8653 4.9628 0.0000
0.0000 0.0000 8.3406
Tb Tl P O
1 3 2 8
Direct
0.0000 0.0000 0.0000
0.0000 0.0000 0.5000
0.3333 0.6667 0.2755
0.6667 0.3333 0.7245
0.3333 0.6667 0.7763
0.6667 0.3333 0.2237
0.1852 0.3703 0.8398
0.1852 0.8148 0.8398
0.3333 0.6667 0.5918
0.3703 0.1852 0.1602
0.6297 0.8148 0.8398
0.6667 0.3333 0.4082
0.8148 0.1852 0.1602
0.8148 0.6297 0.1602
```



First-principles (GGA-PBE) data for a relaxed structure of BaPu2P2N6, as listed in the Alexandria database.

```
BaPu2P2N6
1.0
6.0506 0.0000 0.0000
-2.3660 5.5909 0.0000
-2.4773 -2.0216 5.6600
Ba Pu P N
1 2 2 6
Direct
0.0000 0.0000 0.0000
0.3635 0.2988 0.6716
0.6365 0.7012 0.3284
0.3032 0.7515 0.7210
0.6968 0.2485 0.2790
0.0975 0.8582 0.6222
0.3432 0.6523 0.9408
0.4773 0.7185 0.5975
0.5227 0.2815 0.4025
0.6568 0.3477 0.0592
0.9025 0.1418 0.3778
```



Pr2MnAl4Au3 | the Alexandria database | GGA-PBE | relaxed; E_form = -6.03 eV per formula unit
1.0
4.3519 0.0000 0.0000
0.0000 4.3519 0.0000
0.0000 0.0000 10.8202
Pr Mn Al Au
2 1 4 3
Direct
0.0000 0.5000 0.2465
0.5000 0.0000 0.7535
0.5000 0.5000 0.0000
0.0000 0.0000 0.5000
0.0000 0.5000 0.8677
0.5000 0.0000 0.1323
0.5000 0.5000 0.5000
0.0000 0.0000 0.0000
0.0000 0.5000 0.6318
0.5000 0.0000 0.3682



Calculated calculated volume (Å³ per cell), listed in the same order as above: 60.2; 66.0; 52.1; 177.0; 71.2; 162.0; 306.1; 75.7; 167.2; 237.2; 191.5; 204.9
Calculated E_tot (eV for the cell shown), listed in the same order as above: -24.9; -17.2; -36.2; -43.8; -43.6; -89.2; -66.8; -9.9; -7.5; -92.2; -99.2; -49.6